# 1
First-principles (PBE-GGA) data for ZnTeP2 after structural relaxation, as listed in the Alexandria database.

The structure in POSCAR format:
```
ZnTeP2
1.0
11.043 0.000 0.000
0.000 3.396 0.000
-1.749 0.000 4.691
Zn Te P
2 2 4
Cartesian
0.000 0.000 0.000 Zn
5.522 1.698 0.000 Zn
-0.875 1.698 2.345 Te
4.647 0.000 2.345 Te
2.393 0.000 0.640 P
1.379 1.698 4.050 P
7.915 1.698 0.640 P
6.900 0.000 4.050 P
```

Calculated values
- Crystal system: monoclinic
- VASP energy: -30.0 eV for the cell shown
- Energy above the lowest structure with this stoichiometry: 0.0 meV/atom
- SG: C2/m, No. 12
- Formation energy from raw total energies: 0.062 eV per atom
- Calculated volume: 21.99 Å³/atom
- Theoretical density: 4.8 Mg/m³

***

# 2
First-principles (PBE-GGA) data for ZrTe3P after structural relaxation, as listed in the Alexandria database.

The structure in POSCAR format:
```
ZrTe3P
1.0
5.155 0.000 0.000
0.000 5.155 0.000
0.000 0.000 5.155
Zr Te P
1 3 1
Cartesian
0.000 0.000 0.000 Zr
0.000 2.577 2.577 Te
2.577 0.000 2.577 Te
2.577 2.577 0.000 Te
2.577 2.577 2.577 P
```

Calculated values
- Crystal system: cubic
- VASP energy: -21.5 eV for the cell shown
- Energy above the lowest structure with this stoichiometry: 0.0 meV/atom
- SG: Pm-3m, No. 221
- Formation energy from raw total energies: 0.382 eV per atom
- Calculated volume: 27.39 Å³/atom
- Theoretical density: 6.1 Mg/m³

***

# 3
First-principles (PBE-GGA) data for Zr2Te2P after structural relaxation, as listed in the Alexandria database.

The structure in POSCAR format:
```
Zr2Te2P
1.0
3.838 0.000 0.000
-1.919 3.324 0.000
0.000 0.000 30.719
Zr Te P
6 6 3
Cartesian
0.000 0.000 3.677 Zr
0.000 0.000 27.042 Zr
0.000 2.216 16.802 Zr
0.000 2.216 24.156 Zr
1.919 1.108 6.563 Zr
1.919 1.108 13.917 Zr
0.000 0.000 8.472 Te
0.000 0.000 22.247 Te
0.000 2.216 12.007 Te
0.000 2.216 28.951 Te
1.919 1.108 1.768 Te
1.919 1.108 18.711 Te
0.000 0.000 15.359 P
0.000 2.216 5.120 P
1.919 1.108 25.599 P
```

Calculated values
- Crystal system: trigonal
- VASP energy: -103.1 eV for the cell shown
- SG: R-3m, No. 166
- Formation energy from raw total energies: -1.115 eV per atom
- Calculated volume: 26.13 Å³/atom
- Theoretical density: 6.0 Mg/m³

***

# 4
First-principles (PBE-GGA) data for ZrTeP4 after structural relaxation, as listed in the Alexandria database.

The structure in POSCAR format:
```
ZrTeP4
1.0
0.000 3.747 3.747
3.747 0.000 3.747
3.747 3.747 0.000
Zr Te P
1 1 4
Cartesian
0.000 0.000 0.000 Zr
1.873 1.873 1.873 Te
4.729 2.764 2.764 P
2.764 4.729 2.764 P
2.764 2.764 4.729 P
4.729 4.729 4.729 P
```

Calculated values
- Crystal system: cubic
- VASP energy: -31.8 eV for the cell shown
- SG: F-43m, No. 216
- Formation energy from raw total energies: 0.256 eV per atom
- Calculated volume: 17.53 Å³/atom
- Theoretical density: 5.4 Mg/m³

***

# 5
First-principles (PBE-GGA) data for Zr4Te5P after structural relaxation, as listed in the Alexandria database.

The structure in POSCAR format:
```
Zr4Te5P
1.0
8.776 -1.934 0.000
8.776 1.934 0.000
-1.685 0.000 7.943
Zr Te P
4 5 1
Cartesian
-0.454 0.000 2.250 Zr
5.431 0.000 3.423 Zr
10.436 0.000 4.520 Zr
16.321 0.000 5.693 Zr
1.492 0.000 6.667 Te
2.497 0.000 2.483 Te
8.776 0.000 0.000 Te
13.370 0.000 5.460 Te
14.375 0.000 1.276 Te
7.934 0.000 3.971 P
```

Calculated values
- Crystal system: monoclinic
- VASP energy: -65.4 eV for the cell shown
- SG: C2/m, No. 12
- Formation energy from raw total energies: -1.006 eV per atom
- Calculated volume: 26.97 Å³/atom
- Theoretical density: 6.4 Mg/m³

***

# 6
First-principles (PBE-GGA) data for Zr6Te2P after structural relaxation, as listed in the Alexandria database.

The structure in POSCAR format:
```
Zr6Te2P
1.0
7.674 0.000 0.000
-3.837 6.646 0.000
0.000 0.000 3.763
Zr Te P
6 2 1
Cartesian
-0.938 1.624 0.000 Zr
-2.375 4.113 1.882 Zr
1.875 0.000 0.000 Zr
1.462 2.532 1.882 Zr
4.750 0.000 1.882 Zr
2.899 5.022 0.000 Zr
0.000 4.431 0.000 Te
3.837 2.215 0.000 Te
0.000 0.000 1.882 P
```

Calculated values
- Crystal system: hexagonal
- VASP energy: -69.8 eV for the cell shown
- SG: P-62m, No. 189
- Formation energy from raw total energies: -0.754 eV per atom
- Calculated volume: 21.33 Å³/atom
- Theoretical density: 7.2 Mg/m³

***

# 7
First-principles (PBE-GGA) data for ZrTe3P after structural relaxation, as listed in the Alexandria database.

The structure in POSCAR format:
```
ZrTe3P
1.0
5.606 0.000 0.000
0.000 5.606 0.000
0.000 0.000 5.606
Zr Te P
1 3 1
Cartesian
0.000 0.000 0.000 Zr
0.000 0.000 2.803 Te
0.000 2.803 0.000 Te
2.803 0.000 0.000 Te
2.803 2.803 2.803 P
```

Calculated values
- Crystal system: cubic
- VASP energy: -21.3 eV for the cell shown
- Energy above the lowest structure with this stoichiometry: 31.4 meV/atom
- SG: Pm-3m, No. 221
- Formation energy from raw total energies: 0.413 eV per atom
- Calculated volume: 35.24 Å³/atom
- Theoretical density: 4.8 Mg/m³

***

# 8
First-principles (PBE-GGA) data for ThP2 after structural relaxation, as listed in the Alexandria database.

The structure in POSCAR format:
```
ThP2
1.0
7.193 0.000 0.000
0.000 3.858 0.000
0.000 0.000 9.437
Th P
4 8
Cartesian
1.435 0.965 1.437 Th
2.162 2.894 6.155 Th
5.031 0.965 3.282 Th
5.758 2.894 8.001 Th
0.607 0.965 4.347 P
0.768 0.965 7.917 P
2.828 2.894 3.199 P
2.989 2.894 9.065 P
4.204 0.965 0.372 P
4.365 0.965 6.239 P
6.424 2.894 1.520 P
6.585 2.894 5.091 P
```

Calculated values
- Crystal system: orthorhombic
- VASP energy: -85.9 eV for the cell shown
- SG: Pnma, No. 62
- Calculated volume: 21.83 Å³/atom
- Theoretical density: 7.5 Mg/m³

***

# 9
First-principles (PBE-GGA) data for Th3P4 after structural relaxation, as listed in the Alexandria database.

The structure in POSCAR format:
```
Th3P4
1.0
-4.323 4.323 4.323
4.323 -4.323 4.323
4.323 4.323 -4.323
Th P
6 8
Cartesian
6.485 1.081 0.000 Th
3.242 0.000 2.162 Th
2.162 3.242 0.000 Th
0.000 2.162 3.242 Th
1.081 0.000 6.485 Th
0.000 6.485 1.081 Th
3.638 0.685 -0.685 P
5.800 -1.477 1.477 P
0.685 0.685 0.685 P
0.685 -0.685 3.638 P
-0.685 3.638 0.685 P
1.477 5.800 -1.477 P
2.847 2.847 2.847 P
-1.477 1.477 5.800 P
```

Calculated values
- Crystal system: cubic
- VASP energy: -107.8 eV for the cell shown
- SG: I-43d, No. 220
- Calculated volume: 23.09 Å³/atom
- Theoretical density: 8.4 Mg/m³

***

# 10
First-principles (PBE-GGA) data for ThP2 after structural relaxation, as listed in the Alexandria database.

The structure in POSCAR format:
```
ThP2
1.0
3.972 0.000 0.000
0.000 3.972 0.000
0.000 0.000 16.573
Th P
4 8
Cartesian
0.000 0.000 2.315 Th
0.000 0.000 14.259 Th
1.986 1.986 5.972 Th
1.986 1.986 10.601 Th
0.000 0.000 5.261 P
0.000 0.000 11.312 P
0.000 1.986 0.000 P
0.000 1.986 8.287 P
1.986 0.000 0.000 P
1.986 0.000 8.287 P
1.986 1.986 3.025 P
1.986 1.986 13.548 P
```

Calculated values
- Crystal system: tetragonal
- VASP energy: -85.1 eV for the cell shown
- SG: I4/mmm, No. 139
- Calculated volume: 21.78 Å³/atom
- Theoretical density: 7.5 Mg/m³

***

# 11
First-principles (PBE-GGA) data for ThP2 after structural relaxation, as listed in the Alexandria database.

The structure in POSCAR format:
```
ThP2
1.0
5.711 0.000 0.000
0.000 5.605 0.000
-2.474 0.000 4.116
Th P
2 4
Cartesian
0.000 0.000 0.000 Th
2.856 2.802 0.000 Th
-0.177 2.802 1.086 P
0.559 0.000 3.030 P
2.679 0.000 1.086 P
3.415 2.802 3.030 P
```

Calculated values
- Crystal system: monoclinic
- VASP energy: -42.2 eV for the cell shown
- SG: C2/m, No. 12
- Calculated volume: 21.96 Å³/atom
- Theoretical density: 7.4 Mg/m³

***

# 12
First-principles (PBE-GGA) data for Th6P5 after structural relaxation, as listed in the Alexandria database.

The structure in POSCAR format:
```
Th6P5
1.0
3.561 -6.149 0.000
3.561 6.149 0.000
-2.373 0.000 6.721
Th P
6 5
Cartesian
-0.008 2.074 5.038 Th
1.158 0.000 1.704 Th
-0.008 -2.074 5.038 Th
4.756 2.074 1.683 Th
3.591 0.000 5.017 Th
4.756 -2.074 1.683 Th
-1.187 0.000 3.361 P
3.561 4.107 0.000 P
2.374 2.067 3.361 P
2.374 -2.067 3.361 P
3.561 -4.107 0.000 P
```

Calculated values
- Crystal system: monoclinic
- VASP energy: -86.3 eV for the cell shown
- SG: C2/m, No. 12
- Calculated volume: 26.75 Å³/atom
- Theoretical density: 8.7 Mg/m³

***

Question: Which formula does entry 2 have?
Answer: ZrTe3P

***

Question: Which of these has the highest theoretical density?
Answer: Th6P5

***

Question: Which value of calculated volume does entry 7 give?
Answer: 35.24 Å³/atom